# 1
Y2ScCdO: optimized geometry, PBE.

Summary:
* total magnetic moment: 0.00 μB/f.u.
* formation energy (no corrections): -1.34 eV per atom

Lattice parameters (Å, degrees): 4.799 4.799 4.499 90.00 90.00 90.00
Positions (direct):
Y1 0.000 0.500 0.000
Y2 0.500 0.000 0.000
Sc1 0.000 0.000 0.500
Cd1 0.500 0.500 0.500
O1 0.000 0.000 0.000

# 2
YSc2CdO: optimized geometry, PBE.

Summary:
* total magnetic moment: 0.00 μB/f.u.
* distance to the lowest polymorph of the same formula: 415 meV per atom
* formation energy (no corrections): -0.94 eV per atom

Lattice parameters (Å, degrees): 4.347 5.838 4.347 90.00 90.00 90.00
Positions (direct):
Sc1 0.500 0.000 0.000
Sc2 0.000 0.000 0.500
Y1 0.500 0.500 0.500
Cd1 0.000 0.500 0.000
O1 0.000 0.000 0.000

# 3
YSc2CdO: optimized geometry, PBE.

Summary:
* total magnetic moment: 0.00 μB/f.u.
* distance to the lowest polymorph of the same formula: 0 meV per atom
* formation energy (no corrections): -1.36 eV per atom

Lattice parameters (Å, degrees): 4.507 4.507 4.735 90.00 90.00 90.00
Positions (direct):
O1 0.000 0.000 0.000
Sc1 0.000 0.500 0.000
Sc2 0.500 0.000 0.000
Cd1 0.500 0.500 0.500
Y1 0.000 0.000 0.500

# 4
CdSeO3: optimized geometry, PBE.

Summary:
* total magnetic moment: 0.00 μB/f.u.
* formation energy (no corrections): -0.99 eV per atom

Lattice parameters (Å, degrees): 4.595 7.267 9.602 90.00 90.00 89.58
Positions (direct):
Cd1 0.794 0.039 0.705
Cd2 0.206 0.461 0.205
Cd3 0.794 0.539 0.795
Cd4 0.206 0.961 0.295
Se1 0.746 0.194 0.063
Se2 0.254 0.806 0.937
Se3 0.254 0.306 0.563
Se4 0.746 0.694 0.437
O1 0.764 0.753 0.612
O2 0.113 0.667 0.393
O3 0.305 0.094 0.642
O4 0.305 0.594 0.858
O5 0.695 0.406 0.142
O6 0.695 0.906 0.358
O7 0.113 0.167 0.107
O8 0.887 0.833 0.893
O9 0.764 0.253 0.888
O10 0.236 0.747 0.112
O11 0.236 0.247 0.388
O12 0.887 0.333 0.607

# 5
Cd2Se2O7: optimized geometry, PBE.

Summary:
* total magnetic moment: 0.00 μB/f.u.
* distance to the lowest polymorph of the same formula: 0 meV per atom
* formation energy (no corrections): -0.80 eV per atom

Lattice parameters (Å, degrees): 5.179 5.918 11.820 90.00 90.00 107.79
Positions (direct):
O1 0.315 0.109 0.043
O2 0.685 0.391 0.543
O3 0.933 0.141 0.197
O4 0.067 0.859 0.803
O5 0.933 0.641 0.303
O6 0.315 0.609 0.457
O7 0.000 0.000 0.500
O8 0.406 0.993 0.319
O9 0.594 0.507 0.819
O10 0.594 0.007 0.681
O11 0.000 0.500 0.000
O12 0.067 0.359 0.697
O13 0.406 0.493 0.181
O14 0.685 0.891 0.957
Se1 0.150 0.302 0.099
Se2 0.150 0.802 0.401
Se3 0.850 0.698 0.901
Se4 0.850 0.198 0.599
Cd1 0.471 0.114 0.856
Cd2 0.529 0.386 0.356
Cd3 0.529 0.886 0.144
Cd4 0.471 0.614 0.644

# 6
CdSeO5: optimized geometry, PBE.

Summary:
* total magnetic moment: 2.04 μB/f.u.
* formation energy (no corrections): -0.23 eV per atom

Lattice parameters (Å, degrees): 5.366 5.366 7.462 71.15 71.15 70.04
Positions (direct):
Se1 0.000 0.000 0.500
Se2 0.000 0.000 0.000
O1 0.080 0.920 0.750
O2 0.324 0.765 0.014
O3 0.139 0.279 0.894
O4 0.765 0.324 0.514
O5 0.721 0.861 0.606
O6 0.279 0.139 0.394
O7 0.235 0.676 0.486
O8 0.861 0.721 0.106
O9 0.676 0.235 0.986
O10 0.920 0.080 0.250
Cd1 0.466 0.534 0.750
Cd2 0.534 0.466 0.250